# PBE-GGA NdSmScPd, relaxed
data_NdSmScPd
_chemical_formula_sum 'Nd1 Sm1 Sc1 Pd1'
_symmetry_space_group_name_H-M 'P 1'
_symmetry_Int_Tables_number 1
_symmetry_space_group_name_Hall 'P 1'
_cell_length_a 5.270
_cell_length_b 5.270
_cell_length_c 5.270
_cell_angle_alpha 60.00
_cell_angle_beta 60.00
_cell_angle_gamma 60.00
loop_
_atom_site_label
_atom_site_type_symbol
_atom_site_fract_x
_atom_site_fract_y
_atom_site_fract_z
Pd1 Pd 0.500 0.500 0.500
Sm1 Sm 0.250 0.250 0.250
Sc1 Sc 0.000 0.000 0.000
Nd1 Nd 0.750 0.750 0.750
# Formation energy = -0.5 eV/f.u.
# Total magnetization = 0.01 μB/cell
# D(E_F) = 1.543 states/eV/atom



# PBE-GGA Nd2ScSn3Pd4, relaxed
data_Nd2ScSn3Pd4
_chemical_formula_sum 'Nd2 Sc1 Sn3 Pd4'
_symmetry_space_group_name_H-M 'P 1'
_symmetry_Int_Tables_number 1
_symmetry_space_group_name_Hall 'P 1'
_cell_length_a 4.560
_cell_length_b 4.560
_cell_length_c 10.886
_cell_angle_alpha 90.00
_cell_angle_beta 90.00
_cell_angle_gamma 90.00
loop_
_atom_site_label
_atom_site_type_symbol
_atom_site_fract_x
_atom_site_fract_y
_atom_site_fract_z
Sn1 Sn 0.000 0.000 0.500
Sn2 Sn 0.500 0.000 0.872
Nd1 Nd 0.500 0.000 0.232
Sc1 Sc 0.500 0.500 0.500
Pd1 Pd 0.500 0.500 0.000
Pd2 Pd 0.000 0.500 0.366
Pd3 Pd 0.500 0.000 0.634
Nd2 Nd 0.000 0.500 0.768
Sn3 Sn 0.000 0.500 0.128
Pd4 Pd 0.000 0.000 0.000
# Formation energy = -8.1 eV/f.u.
# Total magnetization = 0.00 μB/cell
# D(E_F) = 0.686 states/eV/atom



# PBE-GGA NdScTlPd, relaxed
data_NdScTlPd
_chemical_formula_sum 'Nd1 Sc1 Tl1 Pd1'
_symmetry_space_group_name_H-M 'P 1'
_symmetry_Int_Tables_number 1
_symmetry_space_group_name_Hall 'P 1'
_cell_length_a 5.138
_cell_length_b 5.138
_cell_length_c 5.138
_cell_angle_alpha 60.00
_cell_angle_beta 60.00
_cell_angle_gamma 60.00
loop_
_atom_site_label
_atom_site_type_symbol
_atom_site_fract_x
_atom_site_fract_y
_atom_site_fract_z
Tl1 Tl 0.000 0.000 0.000
Nd1 Nd 0.750 0.750 0.750
Sc1 Sc 0.250 0.250 0.250
Pd1 Pd 0.500 0.500 0.500
# Formation energy = -1.8 eV/f.u.
# Total magnetization = 0.00 μB/cell
# D(E_F) = 0.924 states/eV/atom



# PBE-GGA NdSc2ZnPd4, relaxed
data_NdSc2ZnPd4
_chemical_formula_sum 'Nd1 Sc2 Zn1 Pd4'
_symmetry_space_group_name_H-M 'P 1'
_symmetry_Int_Tables_number 1
_symmetry_space_group_name_Hall 'P 1'
_cell_length_a 4.555
_cell_length_b 4.555
_cell_length_c 8.954
_cell_angle_alpha 75.26
_cell_angle_beta 75.26
_cell_angle_gamma 60.00
loop_
_atom_site_label
_atom_site_type_symbol
_atom_site_fract_x
_atom_site_fract_y
_atom_site_fract_z
Pd1 Pd 0.871 0.871 0.388
Zn1 Zn 0.500 0.500 0.500
Pd2 Pd 0.602 0.602 0.193
Pd3 Pd 0.129 0.129 0.612
Sc1 Sc 0.237 0.237 0.290
Sc2 Sc 0.763 0.763 0.710
Pd4 Pd 0.398 0.398 0.807
Nd1 Nd 0.000 0.000 0.000
# Formation energy = -6.1 eV/f.u.
# Total magnetization = 0.00 μB/cell
# D(E_F) = 0.546 states/eV/atom



# PBE-GGA NdPd4Se2, relaxed
data_NdPd4Se2
_chemical_formula_sum 'Nd2 Pd8 Se4'
_symmetry_space_group_name_H-M 'P 1'
_symmetry_Int_Tables_number 1
_symmetry_space_group_name_Hall 'P 1'
_cell_length_a 4.239
_cell_length_b 7.788
_cell_length_c 7.788
_cell_angle_alpha 90.00
_cell_angle_beta 90.00
_cell_angle_gamma 90.00
loop_
_atom_site_label
_atom_site_type_symbol
_atom_site_fract_x
_atom_site_fract_y
_atom_site_fract_z
Se1 Se 0.000 0.782 0.218
Pd1 Pd 0.500 0.844 0.407
Se2 Se 0.500 0.282 0.282
Nd1 Nd 0.500 0.000 0.000
Nd2 Nd 0.000 0.500 0.500
Pd2 Pd 0.000 0.656 0.907
Pd3 Pd 0.500 0.593 0.156
Se3 Se 0.500 0.718 0.718
Pd4 Pd 0.000 0.093 0.344
Pd5 Pd 0.500 0.156 0.593
Pd6 Pd 0.000 0.344 0.093
Se4 Se 0.000 0.218 0.782
Pd7 Pd 0.500 0.407 0.844
Pd8 Pd 0.000 0.907 0.656
# Total magnetization = 0.00 μB/cell
# D(E_F) = 0.716 states/eV/atom
# ΔE_f (raw) = -691 meV/atom



# PBE-GGA Nd4PdSe3, relaxed
data_Nd4PdSe3
_chemical_formula_sum 'Nd4 Pd1 Se3'
_symmetry_space_group_name_H-M 'P 1'
_symmetry_Int_Tables_number 1
_symmetry_space_group_name_Hall 'P 1'
_cell_length_a 4.175
_cell_length_b 7.387
_cell_length_c 7.387
_cell_angle_alpha 109.10
_cell_angle_beta 90.00
_cell_angle_gamma 90.00
loop_
_atom_site_label
_atom_site_type_symbol
_atom_site_fract_x
_atom_site_fract_y
_atom_site_fract_z
Nd1 Nd 0.000 0.757 0.757
Se1 Se 0.500 0.500 0.500
Nd2 Nd 0.500 0.749 0.251
Nd3 Nd 0.000 0.243 0.243
Se2 Se 0.000 0.000 0.500
Pd1 Pd 0.500 0.000 0.000
Se3 Se 0.000 0.500 0.000
Nd4 Nd 0.500 0.251 0.749
# Total magnetization = 0.00 μB/cell
# D(E_F) = 0.502 states/eV/atom
# ΔE_f (raw) = -1555 meV/atom



# PBE-GGA Nd2PdSe, relaxed
data_Nd2PdSe
_chemical_formula_sum 'Nd2 Pd1 Se1'
_symmetry_space_group_name_H-M 'P 1'
_symmetry_Int_Tables_number 1
_symmetry_space_group_name_Hall 'P 1'
_cell_length_a 4.141
_cell_length_b 4.141
_cell_length_c 7.723
_cell_angle_alpha 74.45
_cell_angle_beta 74.45
_cell_angle_gamma 60.00
loop_
_atom_site_label
_atom_site_type_symbol
_atom_site_fract_x
_atom_site_fract_y
_atom_site_fract_z
Se1 Se 0.500 0.500 0.500
Nd1 Nd 0.746 0.746 0.763
Nd2 Nd 0.254 0.254 0.237
Pd1 Pd 0.000 0.000 0.000
# Total magnetization = 0.00 μB/cell
# D(E_F) = 0.649 states/eV/atom
# Energy above the lowest structure with this stoichiometry = 74 meV/atom
# ΔE_f (raw) = -1221 meV/atom



# PBE-GGA Nd2PdSe, relaxed
data_Nd2PdSe
_chemical_formula_sum 'Nd4 Pd2 Se2'
_symmetry_space_group_name_H-M 'P 1'
_symmetry_Int_Tables_number 1
_symmetry_space_group_name_Hall 'P 1'
_cell_length_a 4.391
_cell_length_b 4.031
_cell_length_c 11.940
_cell_angle_alpha 99.72
_cell_angle_beta 90.00
_cell_angle_gamma 90.00
loop_
_atom_site_label
_atom_site_type_symbol
_atom_site_fract_x
_atom_site_fract_y
_atom_site_fract_z
Nd1 Nd 0.250 0.316 0.633
Se1 Se 0.250 0.190 0.381
Pd1 Pd 0.250 0.458 0.917
Nd2 Nd 0.750 0.684 0.367
Pd2 Pd 0.750 0.542 0.083
Nd3 Nd 0.250 0.064 0.127
Se2 Se 0.750 0.810 0.619
Nd4 Nd 0.750 0.936 0.873
# Total magnetization = 0.00 μB/cell
# D(E_F) = 0.588 states/eV/atom
# Energy above the lowest structure with this stoichiometry = 0 meV/atom
# ΔE_f (raw) = -1295 meV/atom



# PBE-GGA Nd2PdSe, relaxed
data_Nd2PdSe
_chemical_formula_sum 'Nd2 Pd1 Se1'
_symmetry_space_group_name_H-M 'P 1'
_symmetry_Int_Tables_number 1
_symmetry_space_group_name_Hall 'P 1'
_cell_length_a 4.134
_cell_length_b 4.134
_cell_length_c 7.843
_cell_angle_alpha 74.72
_cell_angle_beta 74.72
_cell_angle_gamma 60.00
loop_
_atom_site_label
_atom_site_type_symbol
_atom_site_fract_x
_atom_site_fract_y
_atom_site_fract_z
Nd1 Nd 0.257 0.257 0.228
Pd1 Pd 0.667 0.667 0.999
Nd2 Nd 0.076 0.076 0.771
Se1 Se 0.499 0.499 0.502
# Total magnetization = 0.00 μB/cell
# D(E_F) = 0.502 states/eV/atom
# Energy above the lowest structure with this stoichiometry = 116 meV/atom
# ΔE_f (raw) = -1179 meV/atom



- D(E_F) of number 5 (NdPd4Se2)?
  0.716 states/eV/atom



- total magnetization of number 3 (NdScTlPd)?
  0.00 μB/cell